VASP calculation (PBE-GGA) on crystalline K2PuZn3F12 at its relaxed geometry.

```
K2PuZn3F12
1.0
3.753 2.167 5.658
-3.753 2.167 5.658
0.000 -4.333 5.658
K Pu Zn F
2 1 3 12
Cartesian
0.000 0.000 1.908
0.000 0.000 15.065
0.000 0.000 8.487
-1.876 -1.083 5.658
-1.876 1.083 11.316
0.000 2.167 5.658
-1.874 -1.082 7.782
0.000 -1.659 6.056
-1.436 0.829 6.056
0.000 -2.164 9.192
-1.874 1.082 9.192
-1.436 -0.829 10.917
1.436 0.829 6.056
1.874 -1.082 7.782
0.000 2.164 7.782
1.436 -0.829 10.917
0.000 1.659 10.917
1.874 1.082 9.192
```

Output
magnetic moment = 4.000 μB per cell
SG = No. 166
formation energy without anion corrections = -2.7020 eV/atom
DOS(E_F) = 1.30 states/eV/cell